Entry 1:
Computed, not measured: a relaxed Ga6Cu2Tc crystal at the PBE level of DFT.

Calculated values
electronic total energy = -4.1012 eV per atom
spin magnetization = 0.00 μB per formula unit
E_form = -0.021 eV per atom

Lattice parameters (Å, degrees): 4.754 7.027 8.784 90.00 74.32 90.00
Sites, in units of the cell vectors:
Ga1 0.921 0.006 0.216
Ga2 0.009 0.651 0.593
Ga3 0.027 0.685 0.981
Ga4 0.473 0.185 0.519
Ga5 0.491 0.151 0.907
Ga6 0.579 0.506 0.284
Ga7 0.079 0.994 0.784
Ga8 0.991 0.349 0.407
Ga9 0.973 0.315 0.019
Ga10 0.527 0.815 0.481
Ga11 0.509 0.849 0.093
Ga12 0.421 0.494 0.716
Cu1 0.912 0.328 0.715
Cu2 0.588 0.828 0.785
Cu3 0.412 0.172 0.215
Cu4 0.088 0.672 0.285
Tc1 0.500 0.500 0.000
Tc2 0.000 0.000 0.500

***

Entry 2:
Computed, not measured: a relaxed GaCuTc3 crystal at the PBE level of DFT.

Calculated values
electronic total energy = -5.9177 eV per atom
spin magnetization = 0.00 μB per formula unit
E_form = 1.727 eV per atom

Lattice parameters (Å, degrees): 4.508 4.508 4.508 90.00 90.00 90.00
Sites, in units of the cell vectors:
Cu1 0.500 0.500 0.500
Tc1 0.000 0.500 0.000
Tc2 0.000 0.000 0.500
Tc3 0.500 0.000 0.000
Ga1 0.000 0.000 0.000

***

Entry 3:
Computed, not measured: a relaxed GaCuTc crystal at the PBE level of DFT.

Calculated values
electronic total energy = -5.6923 eV per atom
spin magnetization = 1.12 μB per formula unit
E_form = 0.137 eV per atom

Lattice parameters (Å, degrees): 2.902 2.902 5.340 105.77 105.77 90.00
Each line ends with the local moment (μB).
Sites, in units of the cell vectors:
Ga1 0.290 0.290 0.579  0.00
Tc1 0.616 0.616 0.233  0.97
Cu1 0.944 0.944 0.888  0.07

***

Entry 4:
Computed, not measured: a relaxed Ga7Cu2Tc2 crystal at the PBE level of DFT.

Calculated values
electronic total energy = -4.5200 eV per atom
spin magnetization = 0.00 μB per formula unit
E_form = 0.036 eV per atom

Lattice parameters (Å, degrees): 5.401 6.708 5.401 90.01 108.65 89.99
Sites, in units of the cell vectors:
Ga1 0.000 0.301 0.500
Ga2 0.500 0.699 0.000
Ga3 0.000 0.699 0.500
Ga4 0.500 0.301 0.000
Ga5 0.000 0.000 0.000
Ga6 0.500 0.737 0.500
Ga7 0.500 0.263 0.500
Cu1 0.809 0.500 0.809
Cu2 0.191 0.500 0.191
Tc1 0.707 0.000 0.293
Tc2 0.293 0.000 0.707

***

Entry 5:
Computed, not measured: a relaxed GaCu3Tc crystal at the PBE level of DFT.

Calculated values
electronic total energy = -4.0983 eV per atom
spin magnetization = 2.89 μB per formula unit
E_form = 1.038 eV per atom

Lattice parameters (Å, degrees): 4.389 4.389 4.389 90.00 90.00 90.00
Each line ends with the local moment (μB).
Sites, in units of the cell vectors:
Cu1 0.000 0.500 0.000  -0.01
Cu2 0.000 0.000 0.500  0.02
Cu3 0.500 0.000 0.000  0.00
Tc1 0.500 0.500 0.500  2.76
Ga1 0.000 0.000 0.000  -0.02

***

Entry 6:
Computed, not measured: a relaxed GaCuTc crystal at the PBE level of DFT.

Calculated values
electronic total energy = -5.9735 eV per atom
spin magnetization = 0.00 μB per formula unit
E_form = -0.144 eV per atom

Lattice parameters (Å, degrees): 3.003 3.003 9.093 90.00 90.00 90.00
Sites, in units of the cell vectors:
Tc1 0.000 0.500 0.587
Tc2 0.500 0.000 0.413
Ga1 0.000 0.500 0.235
Ga2 0.500 0.000 0.765
Cu1 0.500 0.000 0.078
Cu2 0.000 0.500 0.922